{"formula": "LiMg2Zr", "functional": "PBE", "state": "optimized geometry", "lattice": [[0.0000, 3.4883, 3.4883], [3.4883, 0.0000, 3.4883], [3.4883, 3.4883, 0.0000]], "species": ["Li", "Mg", "Mg", "Zr"], "fractional_positions": [[0.0000, 0.0000, 0.0000], [0.2500, 0.2500, 0.2500], [0.7500, 0.7500, 0.7500], [0.5000, 0.5000, 0.5000]], "total_magnetization_mub_per_cell": 0.0, "vol_a3_per_cell": 85, "formation_energy_ev_per_atom": 0.171, "mass_density_g_cm3": 2.9, "space_group": "No. 225"}